[1]
DFT (PBE) results for crystalline CrInAgRh2 at its relaxed geometry.

```
CrInAgRh2
1.0
-2.616 -3.526 2.128
3.779 -2.362 0.732
0.542 2.204 4.319
Cr Rh Ag In
1 2 1 1
Cartesian
1.890 -1.181 0.366 Cr
0.271 1.102 2.159 Rh
-1.308 -1.763 1.064 Rh
0.000 0.000 0.000 Ag
0.852 -1.842 3.589 In
```

---

[2]
DFT (PBE) results for crystalline Sr2CrInAg at its relaxed geometry.

```
Sr2CrInAg
1.0
-5.728 1.892 0.591
-0.707 -0.611 -4.899
-1.786 -5.710 0.970
Sr Cr Ag In
2 1 1 1
Cartesian
-0.893 -2.855 0.485 Sr
-2.864 0.946 0.295 Sr
0.000 0.000 0.000 Cr
-0.354 -0.306 -2.449 Ag
-4.110 -2.215 -1.669 In
```

---

[3]
DFT (PBE) results for crystalline VCrInAg2 at its relaxed geometry.

```
VCrInAg2
1.0
5.035 0.000 0.000
0.000 4.006 0.000
0.000 0.000 5.035
Cr V Ag In
1 1 2 1
Cartesian
0.000 0.000 0.000 Cr
0.000 2.003 0.000 V
0.000 0.000 2.517 Ag
2.517 0.000 0.000 Ag
2.517 2.003 2.517 In
```

---

[4]
DFT (PBE) results for crystalline YCr2InAg at its relaxed geometry.

```
YCr2InAg
1.0
5.044 0.000 0.000
0.000 5.051 0.000
0.000 0.000 5.044
Y Cr Ag In
1 2 1 1
Cartesian
2.522 2.526 2.522 Y
0.000 0.000 2.522 Cr
2.522 0.000 0.000 Cr
0.000 0.000 0.000 Ag
0.000 2.526 0.000 In
```

---

Number 1: energy of formation from the pure elements 7.966 eV/f.u., calculated total energy -21.95 eV for the cell shown. Number 2: energy of formation from the pure elements 2.367 eV/f.u., calculated total energy -16.21 eV for the cell shown. Number 3: energy of formation from the pure elements 4.643 eV/f.u., calculated total energy -22.54 eV for the cell shown. Number 4: energy of formation from the pure elements 4.004 eV/f.u., calculated total energy -27.30 eV for the cell shown.